No. 1
An optimized crystal structure of KRbNaP, computed with PBE.

Output
Its formation energy is -0.670 eV/f.u.

Cell lengths 5.493, 5.493, 5.493 Å; angles 60.00, 60.00, 60.00 degrees
Fractional positions:
Rb1 0.750 0.750 0.750
P1 0.250 0.250 0.250
K1 0.000 0.000 0.000
Na1 0.500 0.500 0.500

---

No. 2
An optimized crystal structure of KNa2PRh, computed with PBE.

Output
As for the density of states at the Fermi level: 0.354 states/eV per atom. Its formation energy is -1.018 eV/f.u.

Cell lengths 5.494, 5.494, 4.457 Å; angles 90.00, 90.00, 90.00 degrees
Fractional positions:
Na1 0.000 0.500 0.000
Na2 0.500 0.000 0.000
K1 0.500 0.500 0.500
P1 0.000 0.000 0.500
Rh1 0.000 0.000 0.000

---

No. 3
An optimized crystal structure of KNaPS3, computed with PBE.

Output
As for the density of states at the Fermi level: 0.000 states/eV per atom. The uncorrected formation energy is -80.7 kJ/mol of atoms.

Cell lengths 7.107, 7.107, 7.910 Å; angles 93.57, 93.57, 63.25 degrees
Fractional positions:
S1 0.665 0.121 0.798
S2 0.335 0.879 0.202
S3 0.121 0.665 0.798
S4 0.872 0.872 0.254
S5 0.128 0.128 0.746
S6 0.879 0.335 0.202
Na1 0.213 0.787 0.500
Na2 0.787 0.213 0.500
P1 0.981 0.981 0.856
P2 0.019 0.019 0.144
K1 0.672 0.672 0.908
K2 0.328 0.328 0.092

---

No. 4
An optimized crystal structure of K3NaP2S6, computed with PBE.

Output
As for the density of states at the Fermi level: 0.391 states/eV per atom. The uncorrected formation energy is -71.5 kJ/mol of atoms.

Cell lengths 7.114, 7.114, 8.711 Å; angles 90.00, 90.00, 120.00 degrees
Fractional positions:
S1 0.826 0.653 0.717
S2 0.826 0.174 0.717
S3 0.347 0.174 0.717
S4 0.174 0.826 0.283
S5 0.174 0.347 0.283
S6 0.653 0.826 0.283
Na1 0.000 0.000 0.500
K1 0.667 0.333 0.351
K2 0.333 0.667 0.649
K3 0.000 0.000 0.000
P1 0.667 0.333 0.775
P2 0.333 0.667 0.225